VASP calculation (PBE-GGA) on crystalline RbPm2N at its relaxed geometry.

## Properties
Its calculated density is 5.138 g/cm3. As for the final energy: -5.15 eV per atom.

a = 10.918 Å, b = 10.918 Å, c = 10.918 Å
α = 19.43°, β = 19.43°, γ = 19.43°
Sites, in units of the cell vectors:
Rb 0.000 0.000 0.000
Pm 0.125 0.125 0.125
Pm 0.875 0.875 0.875
N 0.500 0.500 0.500